1.
A plane-wave DFT calculation with PBE was carried out for a relaxed K2TaRe crystal.

Summary:
The value obtained for the formation energy is 1.415 eV per atom. The polymorph energy (0 for the lowest one) comes out at 0.702 eV/atom. For the magnetic moment, the calculation gives 0.003 μB/atom. Its space group is R-3m, No. 166.

Unit cell a=12.6685 b=12.6685 c=12.6685 alpha=13.05 beta=13.05 gamma=13.05
Closest atoms and distances in Å follow each position.
Atoms (fractional coordinates):
1 K 0.2447 0.2447 0.2447  6 K 2.88
2 K 0.7553 0.7553 0.7553  6 K 2.88
3 Ta 0.0000 0.0000 0.0000  6 Ta 2.88
4 Re 0.5000 0.5000 0.5000  6 Re 2.88

2.
A plane-wave DFT calculation with PBE was carried out for a relaxed SmHo3H crystal.

Summary:
The total DFT energy (no corrections) is -4.525 eV/atom. For the magnetic moment, the calculation gives 0.000 μB/atom. Its space group is Pm-3m, No. 221.

Unit cell a=4.9872 b=4.9872 c=4.9872 alpha=90.00 beta=90.00 gamma=90.00
Closest atoms and distances in Å follow each position.
Atoms (fractional coordinates):
1 Sm 0.0000 0.0000 0.0000  12 Ho 3.53
2 Ho 0.0000 0.5000 0.5000  2 H 2.49
3 Ho 0.5000 0.0000 0.5000  2 H 2.49
4 Ho 0.5000 0.5000 0.0000  2 H 2.49
5 H 0.5000 0.5000 0.5000  6 Ho 2.49

3.
A plane-wave DFT calculation with PBE was carried out for a relaxed Pu2Si4Pt3Au crystal.

Summary:
For the magnetic moment, the calculation gives 1.050 μB/atom. Its space group is P-4m2, No. 115. As for the uncorrected formation energy: -0.782 eV/atom.

Unit cell a=4.2586 b=4.2586 c=9.9046 alpha=90.00 beta=90.00 gamma=90.00
Closest atoms and distances in Å follow each position.
Atoms (fractional coordinates):
1 Pu 0.0000 0.5000 0.2443  8 Si 3.22, 7 Pt 3.26-3.60, 2 Au 3.31
2 Pu 0.5000 0.0000 0.7557  8 Si 3.22, 7 Pt 3.26-3.60, 2 Au 3.31
3 Si 0.0000 0.0000 0.0000  4 Pt 2.43
4 Si 0.0000 0.5000 0.6395  3 Pt 2.39-2.54, 2 Au 2.54
5 Si 0.5000 0.0000 0.3605  3 Pt 2.39-2.54, 2 Au 2.54
6 Si 0.5000 0.5000 0.0000  4 Pt 2.43
7 Pt 0.0000 0.5000 0.8807  5 Si 2.39-2.43
8 Pt 0.5000 0.0000 0.1193  5 Si 2.39-2.43
9 Pt 0.5000 0.5000 0.5000  4 Si 2.54
10 Au 0.0000 0.0000 0.5000  4 Si 2.54

4.
A plane-wave DFT calculation with PBE was carried out for a relaxed Ni2AsW crystal.

Summary:
The value obtained for the formation energy is 0.050 eV per atom. For the magnetic moment, the calculation gives 0.000 μB/atom. Its space group is P2/m, No. 10.

Unit cell a=2.8632 b=3.6744 c=5.1285 alpha=90.00 beta=90.12 gamma=90.00
Closest atoms and distances in Å follow each position.
Atoms (fractional coordinates):
1 Ni 0.0006 0.0000 0.2416  2 Ni 2.48-2.65, 4 W 2.64, 4 As 2.68
2 Ni 0.9994 0.0000 0.7584  2 Ni 2.48-2.65, 4 W 2.64, 4 As 2.68
3 As 0.5000 0.5000 0.5000  2 W 2.56, 8 Ni 2.68, 2 As 2.86
4 W 0.5000 0.5000 0.0000  2 As 2.56, 8 Ni 2.64, 2 W 2.86

5.
A plane-wave DFT calculation with PBE was carried out for a relaxed ScPa2Mn9 crystal.

Summary:
The value obtained for the formation energy is -0.012 eV per atom. For the magnetic moment, the calculation gives 0.000 μB/atom. Its space group is R-3m, No. 166.

Unit cell a=8.8888 b=8.8888 c=8.8888 alpha=31.30 beta=31.30 gamma=31.30
Closest atoms and distances in Å follow each position.
Atoms (fractional coordinates):
1 Sc 0.0000 0.0000 0.0000  6 Mn 2.77
2 Pa 0.1448 0.1448 0.1448  12 Mn 2.82-3.11, 3 Pa 2.98
3 Pa 0.8552 0.8552 0.8552  12 Mn 2.82-3.11, 3 Pa 2.98
4 Mn 0.0732 0.5809 0.5809  7 Mn 2.36-2.64
5 Mn 0.3367 0.3367 0.3367  6 Mn 2.36-2.48
6 Mn 0.4191 0.4191 0.9268  7 Mn 2.36-2.64
7 Mn 0.4191 0.9268 0.4191  7 Mn 2.36-2.64
8 Mn 0.5000 0.5000 0.5000  6 Mn 2.64, 6 Pa 2.82
9 Mn 0.5809 0.0732 0.5809  7 Mn 2.36-2.64
10 Mn 0.5809 0.5809 0.0732  7 Mn 2.36-2.64
11 Mn 0.6633 0.6633 0.6633  6 Mn 2.36-2.48
12 Mn 0.9268 0.4191 0.4191  7 Mn 2.36-2.64

6.
A plane-wave DFT calculation with PBE was carried out for a relaxed SrSnHg6 crystal.

Summary:
The value obtained for the formation energy is -0.175 eV per atom. For the magnetic moment, the calculation gives 0.000 μB/atom. Its space group is Amm2, No. 38.

Unit cell a=5.1654 b=6.7664 c=6.7664 alpha=66.18 beta=90.00 gamma=90.00
Closest atoms and distances in Å follow each position.
Atoms (fractional coordinates):
1 Sr 0.0000 0.0000 0.0000  12 Hg 3.35-3.71
2 Sn 0.5000 0.7369 0.7369  10 Hg 3.28-3.52
3 Hg 0.0000 0.0360 0.4900  7 Hg 3.19-3.46, 2 Sn 3.29, 2 Sr 3.36-3.42
4 Hg 0.0000 0.4900 0.0360  7 Hg 3.19-3.46, 2 Sn 3.29, 2 Sr 3.36-3.42
5 Hg 0.0000 0.5298 0.5298  8 Hg 3.14-3.46, 2 Sn 3.49
6 Hg 0.5000 0.1901 0.1901  8 Hg 3.19-3.45, 2 Sr 3.36
7 Hg 0.5000 0.2431 0.6770  7 Hg 3.14-3.45, 1 Sn 3.28, 2 Sr 3.35
8 Hg 0.5000 0.6770 0.2431  7 Hg 3.14-3.45, 1 Sn 3.28, 2 Sr 3.35

Question: What is the formula in the second record?
Answer: SmHo3H